Model w:
The following is a PBE calculation of an optimized crystal structure of K3HfSe, from Alexandria via LeMat-Bulk.

a = 6.2742 Å, b = 6.2742 Å, c = 6.2742 Å
α = 90.00°, β = 90.00°, γ = 90.00°
Space group Pm-3m (No. 221)
Inequivalent atoms, fractional coordinates:
1 K 0.0000 0.0000 0.5000 (multiplicity 3)
2 Hf 0.5000 0.5000 0.5000 (multiplicity 1)
3 Se 0.0000 0.0000 0.0000 (multiplicity 1)

- D(E_F) (states/eV/cell) = 10.4

***

Model x:
The following is a PBE calculation of an optimized crystal structure of K3HfSe, from Alexandria via LeMat-Bulk.

a = 6.4041 Å, b = 6.4041 Å, c = 6.4041 Å
α = 90.00°, β = 90.00°, γ = 90.00°
Space group Pm-3m (No. 221)
Inequivalent atoms, fractional coordinates:
1 K 0.0000 0.0000 0.5000 (multiplicity 3)
2 Hf 0.0000 0.0000 0.0000 (multiplicity 1)
3 Se 0.5000 0.5000 0.5000 (multiplicity 1)

- D(E_F) (states/eV/cell) = 7.5

***

Most favorable structure: model w. The second most favorable one is 597 meV/atom above it.

***

Model w:
The following is a PBE calculation of an optimized crystal structure of KHf3Si, from Alexandria via LeMat-Bulk.

a = 4.8158 Å, b = 4.8158 Å, c = 4.8158 Å
α = 90.00°, β = 90.00°, γ = 90.00°
Space group Pm-3m (No. 221)
Inequivalent atoms, fractional coordinates:
1 K 0.0000 0.0000 0.0000 (multiplicity 1)
2 Hf 0.0000 0.0000 0.5000 (multiplicity 3)
3 Si 0.5000 0.5000 0.5000 (multiplicity 1)

- D(E_F) (states/eV/cell) = 9.8

***

Model x:
The following is a PBE calculation of an optimized crystal structure of KHf3Si, from Alexandria via LeMat-Bulk.

a = 5.1144 Å, b = 5.1144 Å, c = 5.1144 Å
α = 90.00°, β = 90.00°, γ = 90.00°
Space group Pm-3m (No. 221)
Inequivalent atoms, fractional coordinates:
1 K 0.0000 0.0000 0.0000 (multiplicity 1)
2 Hf 0.0000 0.5000 0.5000 (multiplicity 3)
3 Si 0.5000 0.5000 0.5000 (multiplicity 1)

- D(E_F) (states/eV/cell) = 9.6

***

Most favorable structure: model x. The second most favorable one is 1583 meV/atom above it.

***

Model w:
The following is a PBE calculation of an optimized crystal structure of KHfSi3, from Alexandria via LeMat-Bulk.

a = 5.1405 Å, b = 5.1405 Å, c = 5.1405 Å
α = 90.00°, β = 90.00°, γ = 90.00°
Space group Pm-3m (No. 221)
Inequivalent atoms, fractional coordinates:
1 K 0.0000 0.0000 0.0000 (multiplicity 1)
2 Hf 0.5000 0.5000 0.5000 (multiplicity 1)
3 Si 0.0000 0.5000 0.5000 (multiplicity 3)

- D(E_F) (states/eV/cell) = 2.1

***

Model x:
The following is a PBE calculation of an optimized crystal structure of KHfSi3, from Alexandria via LeMat-Bulk.

a = 4.9029 Å, b = 4.9029 Å, c = 4.9029 Å
α = 90.00°, β = 90.00°, γ = 90.00°
Space group Pm-3m (No. 221)
Inequivalent atoms, fractional coordinates:
1 K 0.0000 0.0000 0.0000 (multiplicity 1)
2 Hf 0.5000 0.5000 0.5000 (multiplicity 1)
3 Si 0.0000 0.0000 0.5000 (multiplicity 3)

- D(E_F) (states/eV/cell) = 5.2

***

Most favorable structure: model w. The second most favorable one is 1684 meV/atom above it.

***

Model w:
The following is a PBE calculation of an optimized crystal structure of KHfTa2Sn, from Alexandria via LeMat-Bulk.

a = 5.2249 Å, b = 5.2249 Å, c = 5.4093 Å
α = 90.00°, β = 90.00°, γ = 90.00°
Space group P4/mmm (No. 123)
Inequivalent atoms, fractional coordinates:
1 K 0.0000 0.0000 0.0000 (multiplicity 1)
2 Hf 0.5000 0.5000 0.0000 (multiplicity 1)
3 Ta 0.0000 0.5000 0.5000 (multiplicity 2)
4 Sn 0.5000 0.5000 0.5000 (multiplicity 1)

- D(E_F) (states/eV/cell) = 6.9

***

Model x:
The following is a PBE calculation of an optimized crystal structure of KHfTa2Sn, from Alexandria via LeMat-Bulk.

a = 4.6207 Å, b = 4.6207 Å, c = 5.3410 Å
α = 90.00°, β = 90.00°, γ = 90.00°
Space group P4/mmm (No. 123)
Inequivalent atoms, fractional coordinates:
1 K 0.0000 0.0000 0.0000 (multiplicity 1)
2 Hf 0.5000 0.5000 0.5000 (multiplicity 1)
3 Ta 0.0000 0.5000 0.0000 (multiplicity 2)
4 Sn 0.0000 0.0000 0.5000 (multiplicity 1)

- D(E_F) (states/eV/cell) = 6.3

***

Most favorable structure: model w. The second most favorable one is 642 meV/atom above it.

***

Model w:
The following is a PBE calculation of an optimized crystal structure of KSr3Hf, from Alexandria via LeMat-Bulk.

a = 6.1781 Å, b = 6.1781 Å, c = 6.1781 Å
α = 90.00°, β = 90.00°, γ = 90.00°
Space group Pm-3m (No. 221)
Inequivalent atoms, fractional coordinates:
1 K 0.0000 0.0000 0.0000 (multiplicity 1)
2 Sr 0.0000 0.0000 0.5000 (multiplicity 3)
3 Hf 0.5000 0.5000 0.5000 (multiplicity 1)

- D(E_F) (states/eV/cell) = 9.5

***

Model x:
The following is a PBE calculation of an optimized crystal structure of KSr3Hf, from Alexandria via LeMat-Bulk.

a = 6.5976 Å, b = 6.5976 Å, c = 6.5976 Å
α = 90.00°, β = 90.00°, γ = 90.00°
Space group Pm-3m (No. 221)
Inequivalent atoms, fractional coordinates:
1 K 0.0000 0.0000 0.0000 (multiplicity 1)
2 Sr 0.0000 0.5000 0.5000 (multiplicity 3)
3 Hf 0.5000 0.5000 0.5000 (multiplicity 1)

- D(E_F) (states/eV/cell) = 3.1

***

Most favorable structure: model x. The second most favorable one is 647 meV/atom above it.

***

Model w:
The following is a PBE calculation of an optimized crystal structure of K2SrHf, from Alexandria via LeMat-Bulk.

a = 8.9663 Å, b = 8.9663 Å, c = 8.9663 Å
α = 90.00°, β = 90.00°, γ = 90.00°
Space group Fm-3m (No. 225)
Inequivalent atoms, fractional coordinates:
1 K 0.2500 0.2500 0.2500 (multiplicity 8)
2 Sr 0.0000 0.0000 0.0000 (multiplicity 4)
3 Hf 0.0000 0.0000 0.5000 (multiplicity 4)

- D(E_F) (states/eV/cell) = 12.4

***

Model x:
The following is a PBE calculation of an optimized crystal structure of K2SrHf, from Alexandria via LeMat-Bulk.

a = 10.5128 Å, b = 10.5128 Å, c = 7.1394 Å
α = 90.00°, β = 90.00°, γ = 90.00°
Space group I-42d (No. 122)
Inequivalent atoms, fractional coordinates:
1 K 0.2280 0.2500 0.1250 (multiplicity 8)
2 Sr 0.0000 0.0000 0.5000 (multiplicity 4)
3 Hf 0.0000 0.0000 0.0000 (multiplicity 4)

- D(E_F) (states/eV/cell) = 22.2

***

Most favorable structure: model w. The second most favorable one is 102 meV/atom above it.

***

Model w:
The following is a PBE calculation of an optimized crystal structure of KSr2Hf, from Alexandria via LeMat-Bulk.

a = 8.7230 Å, b = 8.7230 Å, c = 8.7230 Å
α = 90.00°, β = 90.00°, γ = 90.00°
Space group Fm-3m (No. 225)
Inequivalent atoms, fractional coordinates:
1 K 0.0000 0.0000 0.0000 (multiplicity 4)
2 Sr 0.2500 0.2500 0.2500 (multiplicity 8)
3 Hf 0.0000 0.0000 0.5000 (multiplicity 4)

- D(E_F) (states/eV/cell) = 18.2

***

Model x:
The following is a PBE calculation of an optimized crystal structure of KSr2Hf, from Alexandria via LeMat-Bulk.

a = 5.4279 Å, b = 5.4279 Å, c = 25.3784 Å
α = 90.00°, β = 90.00°, γ = 90.00°
Space group I-42d (No. 122)
Inequivalent atoms, fractional coordinates:
1 K 0.0000 0.0000 0.0000 (multiplicity 4)
2 Sr 0.2324 0.2500 0.6250 (multiplicity 8)
3 Hf 0.0000 0.0000 0.5000 (multiplicity 4)

- D(E_F) (states/eV/cell) = 22.9

***

Most favorable structure: model w. The second most favorable one is 322 meV/atom above it.

***

Model w:
The following is a PBE calculation of an optimized crystal structure of K3SrHf, from Alexandria via LeMat-Bulk.

a = 6.8082 Å, b = 6.8082 Å, c = 6.8082 Å
α = 90.00°, β = 90.00°, γ = 90.00°
Space group Pm-3m (No. 221)
Inequivalent atoms, fractional coordinates:
1 K 0.0000 0.0000 0.5000 (multiplicity 3)
2 Sr 0.5000 0.5000 0.5000 (multiplicity 1)
3 Hf 0.0000 0.0000 0.0000 (multiplicity 1)

- D(E_F) (states/eV/cell) = 3.2

***

Model x:
The following is a PBE calculation of an optimized crystal structure of K3SrHf, from Alexandria via LeMat-Bulk.

a = 7.1693 Å, b = 7.1693 Å, c = 7.1693 Å
α = 90.00°, β = 90.00°, γ = 90.00°
Space group Pm-3m (No. 221)
Inequivalent atoms, fractional coordinates:
1 K 0.0000 0.0000 0.5000 (multiplicity 3)
2 Sr 0.0000 0.0000 0.0000 (multiplicity 1)
3 Hf 0.5000 0.5000 0.5000 (multiplicity 1)

- D(E_F) (states/eV/cell) = 9.7

***

Most favorable structure: model w. The second most favorable one is 399 meV/atom above it.

***

Model w:
The following is a PBE calculation of an optimized crystal structure of KHf3Ta, from Alexandria via LeMat-Bulk.

a = 5.2868 Å, b = 5.2868 Å, c = 5.2868 Å
α = 90.00°, β = 90.00°, γ = 90.00°
Space group Pm-3m (No. 221)
Inequivalent atoms, fractional coordinates:
1 K 0.0000 0.0000 0.0000 (multiplicity 1)
2 Hf 0.0000 0.5000 0.5000 (multiplicity 3)
3 Ta 0.5000 0.5000 0.5000 (multiplicity 1)

- D(E_F) (states/eV/cell) = 10.9

***

Model x:
The following is a PBE calculation of an optimized crystal structure of KHf3Ta, from Alexandria via LeMat-Bulk.

a = 4.8006 Å, b = 4.8006 Å, c = 4.8006 Å
α = 90.00°, β = 90.00°, γ = 90.00°
Space group Pm-3m (No. 221)
Inequivalent atoms, fractional coordinates:
1 K 0.0000 0.0000 0.0000 (multiplicity 1)
2 Hf 0.0000 0.0000 0.5000 (multiplicity 3)
3 Ta 0.5000 0.5000 0.5000 (multiplicity 1)

- D(E_F) (states/eV/cell) = 6.7

***

Most favorable structure: model w. The second most favorable one is 1120 meV/atom above it.

***

Model w:
The following is a PBE calculation of an optimized crystal structure of KHf2Ta, from Alexandria via LeMat-Bulk.

a = 7.1602 Å, b = 7.1602 Å, c = 7.1602 Å
α = 90.00°, β = 90.00°, γ = 90.00°
Space group Fm-3m (No. 225)
Inequivalent atoms, fractional coordinates:
1 K 0.0000 0.0000 0.0000 (multiplicity 4)
2 Hf 0.2500 0.2500 0.2500 (multiplicity 8)
3 Ta 0.0000 0.0000 0.5000 (multiplicity 4)

- D(E_F) (states/eV/cell) = 30.1

***

Model x:
The following is a PBE calculation of an optimized crystal structure of KHf2Ta, from Alexandria via LeMat-Bulk.

a = 7.3002 Å, b = 7.3002 Å, c = 13.5527 Å
α = 90.00°, β = 90.00°, γ = 90.00°
Space group I4_1/amd (No. 141, origin choice 2)
Inequivalent atoms, fractional coordinates:
1 K 0.0000 0.2500 0.3750 (multiplicity 4)
2 Hf 0.0000 0.0000 0.0000 (multiplicity 8)
3 Ta 0.0000 0.2500 0.8750 (multiplicity 4)

- D(E_F) (states/eV/cell) = 3.7

***

Most favorable structure: model w. The second most favorable one is 636 meV/atom above it.

***

Model w:
The following is a PBE calculation of an optimized crystal structure of KHfTa2, from Alexandria via LeMat-Bulk.

a = 4.2170 Å, b = 4.2170 Å, c = 20.8532 Å
α = 90.00°, β = 90.00°, γ = 90.00°
Space group I-42d (No. 122)
Inequivalent atoms, fractional coordinates:
1 K 0.0000 0.0000 0.0000 (multiplicity 4)
2 Hf 0.0000 0.0000 0.5000 (multiplicity 4)
3 Ta 0.2229 0.7500 0.6250 (multiplicity 8)

- D(E_F) (states/eV/cell) = 16.4

***

Model x:
The following is a PBE calculation of an optimized crystal structure of KHfTa2, from Alexandria via LeMat-Bulk.

a = 7.0624 Å, b = 7.0624 Å, c = 7.0624 Å
α = 90.00°, β = 90.00°, γ = 90.00°
Space group Fm-3m (No. 225)
Inequivalent atoms, fractional coordinates:
1 K 0.0000 0.0000 0.0000 (multiplicity 4)
2 Hf 0.0000 0.0000 0.5000 (multiplicity 4)
3 Ta 0.2500 0.2500 0.2500 (multiplicity 8)

- D(E_F) (states/eV/cell) = 32.9

***

Most favorable structure: model x. The second most favorable one is 70 meV/atom above it.

***

Model w:
The following is a PBE calculation of an optimized crystal structure of KHfTc3, from Alexandria via LeMat-Bulk.

a = 4.9674 Å, b = 4.9674 Å, c = 4.9674 Å
α = 90.00°, β = 90.00°, γ = 90.00°
Space group Pm-3m (No. 221)
Inequivalent atoms, fractional coordinates:
1 K 0.0000 0.0000 0.0000 (multiplicity 1)
2 Hf 0.5000 0.5000 0.5000 (multiplicity 1)
3 Tc 0.0000 0.5000 0.5000 (multiplicity 3)

- D(E_F) (states/eV/cell) = 5.2

***

Model x:
The following is a PBE calculation of an optimized crystal structure of KHfTc3, from Alexandria via LeMat-Bulk.

a = 4.5024 Å, b = 4.5024 Å, c = 4.5024 Å
α = 90.00°, β = 90.00°, γ = 90.00°
Space group Pm-3m (No. 221)
Inequivalent atoms, fractional coordinates:
1 K 0.0000 0.0000 0.0000 (multiplicity 1)
2 Hf 0.5000 0.5000 0.5000 (multiplicity 1)
3 Tc 0.0000 0.0000 0.5000 (multiplicity 3)

- D(E_F) (states/eV/cell) = 8.7

***

Most favorable structure: model w. The second most favorable one is 753 meV/atom above it.